Material: Rb2NaSO4
Method: DFT, GGA-PBE
State: optimized geometry

Lattice parameters (Å, degrees): 6.663 6.663 7.705 90.00 90.00 90.00
Space group I-4 (No. 82)
Inequivalent atoms, fractional coordinates:
Rb (0.000, 0.000, 0.000) x2
Rb (0.000, 0.500, 0.250) x2
Na (0.000, 0.000, 0.500) x2
S (0.000, 0.500, 0.750) x2
O (0.093, 0.659, 0.636) x8

Values from the calculation:
As for the formation energy from raw total energies: -32.98 kcal/mol of atoms. The density is 2.82 g cm⁻³. Its total magnetization is 0.00 μB/f.u.

Material: InAsP2
Method: DFT, GGA-PBE
State: optimized geometry

Lattice parameters (Å, degrees): 3.3165 3.3165 25.7867 90.00 90.00 120.00
Space group R3m (No. 160, hexagonal axes)
Inequivalent atoms, fractional coordinates:
In (0.0000, 0.0000, 0.0000) x3
As (0.0000, 0.0000, 0.7742) x3
P (0.0000, 0.0000, 0.2265) x3
P (0.0000, 0.0000, 0.5107) x3

Values from the calculation:
The density is 5.10 g cm⁻³. Its total magnetization is 0.00 μB/f.u. The formation energy is 18.8 kJ/mol of atoms.

Material: Rb2ScCCl6
Method: DFT, GGA-PBE
State: optimized geometry

Lattice parameters (Å, degrees): 7.781 7.781 9.094 90.00 90.00 90.00
Space group I4/mmm (No. 139)
Inequivalent atoms, fractional coordinates:
Rb (0.000, 0.500, 0.250) x4
Sc (0.000, 0.000, 0.000) x2
C (0.000, 0.000, 0.500) x2
Cl (0.000, 0.000, 0.269) x4
Cl (0.227, 0.227, 0.000) x8

Values from the calculation:
As for the formation energy from raw total energies: -23.91 kcal/mol of atoms. The density is 2.66 g cm⁻³. Its total magnetization is 1.00 μB/f.u.

Material: Tl2NiMo
Method: DFT, GGA-PBE
State: optimized geometry

Lattice parameters (Å, degrees): 6.687 6.687 6.687 90.00 90.00 90.00
Space group Fm-3m (No. 225)
Inequivalent atoms, fractional coordinates:
Tl (0.250, 0.250, 0.250) x8
Ni (0.000, 0.000, 0.000) x4
Mo (0.000, 0.000, 0.500) x4

Values from the calculation:
The density is 12.51 g cm⁻³. Its total magnetization is 1.58 μB/f.u. The formation energy is 75.0 kJ/mol of atoms.